The following is a DFT calculation (GGA-PBE) of a relaxed structure of Nd13Co2.

The structure belongs to space group P-1 (No. 2); the cell edges are 6.5651, 8.3612 and 9.9379 Å and the angles 65.30°, 84.28° and 82.37°. The distinct sites, in fractional coordinates, are Nd at (0.0000, 0.0000, 0.0000), Nd at (0.0510, 0.8316, 0.6853), Nd at (0.1626, 0.6818, 0.3816), Nd at (0.2339, 0.5386, 0.0676), Nd at (0.3088, 0.3787, 0.7742), Nd at (0.4161, 0.2331, 0.4458), Nd at (0.4618, 0.0795, 0.1514) and Co at (0.1924, 0.1110, 0.7088).

As for the energy relative to the elements: 0.023 eV/atom. The density of states at the Fermi level comes out at 1.5471 states/eV/atom.